{
  "formula": "CaZrVSi2",
  "functional": "GGA-PBE",
  "state": "optimized geometry",
  "lattice_angstrom": [[5.039, 0.000, 0.000], [0.000, 5.039, 0.000], [0.000, 0.000, 5.270]],
  "species": ["Ca", "Zr", "V", "Si", "Si"],
  "frac_coords": [[0.000, 0.000, 0.000], [0.000, 0.000, 0.500], [0.500, 0.500, 0.000], [0.000, 0.500, 0.500], [0.500, 0.000, 0.500]],
  "sg": "P4/mmm",
  "formation_energy_uncorrected_ev_per_atom": 1.408,
  "mass_density_g_cm3": 3.0,
  "magmom_total_mub_per_atom": 0.06
}